No. 1
Here is crystalline Ti3BeCd at its relaxed geometry from Alexandria. Energies are from GGA-PBE.

Properties
D(E_F) = 4.37 states/eV/cell
formation energy from the elements = 8.0 eV per formula unit
ρ = 3.71 g/cm³
crystal system = cubic
symmetry = Pm-3m, No. 221
relative energy among the computed polymorphs = 6.54 eV per formula unit

a = 4.912 Å, b = 4.912 Å, c = 4.912 Å
α = 90.00°, β = 90.00°, γ = 90.00°
Positions (direct):
Ti 0.000 0.000 0.500
Ti 0.000 0.500 0.000
Ti 0.500 0.000 0.000
Be 0.500 0.500 0.500
Cd 0.000 0.000 0.000


No. 2
Here is crystalline Ti2Be2Cd at its relaxed geometry from Alexandria. Energies are from GGA-PBE.

Properties
D(E_F) = 3.66 states/eV/cell
formation energy from the elements = 1.4 eV per formula unit
ρ = 5.02 g/cm³
crystal system = tetragonal
symmetry = I4/mmm, No. 139
relative energy among the computed polymorphs = 1.74 eV per formula unit

a = 9.248 Å, b = 9.248 Å, c = 9.248 Å
α = 162.09°, β = 162.09°, γ = 25.43°
Positions (direct):
Ti 0.126 0.126 0.000
Ti 0.874 0.874 0.000
Be 0.250 0.750 0.500
Be 0.750 0.250 0.500
Cd 0.500 0.500 0.000